Computed, not measured: Er4IrPb after structural relaxation at the PBE level of DFT.

- ΔE_f: -560 meV/atom
- Crystal system: monoclinic
- Symmetry: P2_1/m
- DOS at the Fermi energy: 0.841 states/eV/atom

Cell lengths 5.6677, 6.6984, 9.3625 Å; angles 90.00, 115.83, 90.00 degrees
Closest atoms and distances in Å follow each position.
Element x y z (fractional)
Ir1 0.8077 0.7500 0.4571  6 Er 2.77-2.86
Ir2 0.1923 0.2500 0.5429  6 Er 2.77-2.86
Er1 0.3621 0.7500 0.1542  1 Ir 2.86
Er2 0.9344 0.0066 0.2674  2 Ir 2.78-2.86
Er3 0.6379 0.2500 0.8458  1 Ir 2.86
Er4 0.5814 0.2500 0.4385  1 Ir 2.77
Er5 0.0656 0.9934 0.7326  2 Ir 2.78-2.86
Er6 0.0656 0.5066 0.7326  2 Ir 2.78-2.86
Er7 0.9344 0.4934 0.2674  2 Ir 2.78-2.86
Er8 0.4186 0.7500 0.5615  1 Ir 2.77
Pb1 0.7010 0.7500 0.9310  7 Er 3.12-3.43
Pb2 0.2990 0.2500 0.0690  7 Er 3.12-3.43

***

Computed, not measured: Er2IrPb after structural relaxation at the PBE level of DFT.

- ΔE_f: -701 meV/atom
- Crystal system: tetragonal
- Symmetry: P4/mmm
- DOS at the Fermi energy: 0.299 states/eV/atom

Cell lengths 3.4710, 3.4710, 7.9660 Å; angles 90.00, 90.00, 90.00 degrees
Closest atoms and distances in Å follow each position.
Element x y z (fractional)
Pb1 0.5000 0.5000 0.5000  8 Er 3.40, 4 Pb 3.47
Er1 0.0000 0.0000 0.2038  4 Ir 2.94, 1 Er 3.25
Er2 0.0000 0.0000 0.7962  4 Ir 2.94, 1 Er 3.25
Ir1 0.5000 0.5000 0.0000  8 Er 2.94

***

Computed, not measured: Er3IrPb2 after structural relaxation at the PBE level of DFT.

- ΔE_f: -484 meV/atom
- Crystal system: monoclinic
- Symmetry: C2/c
- DOS at the Fermi energy: 0.509 states/eV/atom

Cell lengths 6.1908, 7.0966, 8.1061 Å; angles 104.68, 112.45, 90.00 degrees
Closest atoms and distances in Å follow each position.
Element x y z (fractional)
Er1 0.6616 0.7500 0.0000  1 Ir 2.84, 2 Pb 3.11
Er2 0.3384 0.2500 0.0000  1 Ir 2.84, 2 Pb 3.11
Er3 0.7949 0.4019 0.7125  1 Ir 2.68
Er4 0.0823 0.0981 0.2875  1 Ir 2.68
Er5 0.2051 0.5981 0.2875  1 Ir 2.68
Er6 0.9177 0.9019 0.7125  1 Ir 2.68
Pb1 0.4022 0.9620 0.6665  6 Er 3.11-3.34, 1 Ir 3.37
Pb2 0.2643 0.4620 0.6665  6 Er 3.11-3.34, 1 Ir 3.37
Pb3 0.5978 0.0380 0.3335  6 Er 3.11-3.34, 1 Ir 3.37
Pb4 0.7357 0.5380 0.3335  6 Er 3.11-3.34, 1 Ir 3.37
Ir1 0.1196 0.7500 0.0000  3 Er 2.68-2.84
Ir2 0.8804 0.2500 0.0000  3 Er 2.68-2.84

***

Computed, not measured: Er5Ir2Pb after structural relaxation at the PBE level of DFT.

- ΔE_f: -724 meV/atom
- Crystal system: tetragonal
- Symmetry: I4/mcm
- DOS at the Fermi energy: 0.950 states/eV/atom

Cell lengths 7.7458, 7.7458, 8.6862 Å; angles 116.48, 116.48, 90.00 degrees
Closest atoms and distances in Å follow each position.
Element x y z (fractional)
Er1 0.4747 0.2893 0.2641  3 Ir 2.84-2.92
Er2 0.5253 0.7107 0.7359  3 Ir 2.84-2.92
Er3 0.0000 0.0000 0.0000  4 Ir 2.99
Er4 0.2893 0.7893 0.2641  3 Ir 2.84-2.92
Er5 0.0253 0.5253 0.7359  3 Ir 2.84-2.92
Er6 0.5000 0.5000 0.0000  4 Ir 2.99
Er7 0.2107 0.0253 0.7359  3 Ir 2.84-2.92
Er8 0.7893 0.9747 0.2641  3 Ir 2.84-2.92
Er9 0.9747 0.4747 0.2641  3 Ir 2.84-2.92
Er10 0.7107 0.2107 0.7359  3 Ir 2.84-2.92
Ir1 0.3597 0.8597 0.0000  8 Er 2.84-2.99, 1 Ir 3.07
Ir2 0.1403 0.3597 0.0000  8 Er 2.84-2.99, 1 Ir 3.07
Ir3 0.8597 0.6403 0.0000  8 Er 2.84-2.99, 1 Ir 3.07
Ir4 0.6403 0.1403 0.0000  8 Er 2.84-2.99, 1 Ir 3.07
Pb1 0.7500 0.7500 0.5000  10 Er 3.33-3.37
Pb2 0.2500 0.2500 0.5000  10 Er 3.33-3.37

***

Question: Which value of DOS at the Fermi energy does entry 4 give?
Answer: 0.950 states/eV/atom

***

Question: Number 1 is which compound?
Answer: Er4IrPb

***

Question: The highest DOS at the Fermi energy belongs to which entry?
Answer: Er5Ir2Pb

***

Please write out number 1 again, unchanged.
Computed, not measured: Er4IrPb after structural relaxation at the PBE level of DFT.

- ΔE_f: -560 meV/atom
- Crystal system: monoclinic
- Symmetry: P2_1/m
- DOS at the Fermi energy: 0.841 states/eV/atom

Cell lengths 5.6677, 6.6984, 9.3625 Å; angles 90.00, 115.83, 90.00 degrees
Closest atoms and distances in Å follow each position.
Element x y z (fractional)
Ir1 0.8077 0.7500 0.4571  6 Er 2.77-2.86
Ir2 0.1923 0.2500 0.5429  6 Er 2.77-2.86
Er1 0.3621 0.7500 0.1542  1 Ir 2.86
Er2 0.9344 0.0066 0.2674  2 Ir 2.78-2.86
Er3 0.6379 0.2500 0.8458  1 Ir 2.86
Er4 0.5814 0.2500 0.4385  1 Ir 2.77
Er5 0.0656 0.9934 0.7326  2 Ir 2.78-2.86
Er6 0.0656 0.5066 0.7326  2 Ir 2.78-2.86
Er7 0.9344 0.4934 0.2674  2 Ir 2.78-2.86
Er8 0.4186 0.7500 0.5615  1 Ir 2.77
Pb1 0.7010 0.7500 0.9310  7 Er 3.12-3.43
Pb2 0.2990 0.2500 0.0690  7 Er 3.12-3.43